## BeCrTe2N (PBE)

Data for BeCrTe2N after structural relaxation.

Calculated values
* energy relative to the lowest polymorph listed for this composition: 0 meV per atom
* magnetic moment: 1.2 μB per formula unit
* space group: P4/mmm, No. 123
* uncorrected energy: -5.101 eV/atom
* uncorrected formation energy: 491 meV per atom

Unit cell a=5.2849 b=5.2849 c=3.5081 alpha=90.00 beta=90.00 gamma=90.00
Last column: nearest neighbours and their distance in Å.
Element x y z (fractional)
Cr 0.0000 0.0000 0.0000  2 N 1.75
Te 0.0000 0.5000 0.0000  2 Cr 2.64
Te 0.5000 0.0000 0.0000  2 Cr 2.64
Be 0.5000 0.5000 0.5000  8 Te 3.17, 2 Be 3.51
N 0.0000 0.0000 0.5000  2 Cr 1.75